VASP calculation (PBE with a Hubbard U) on a geometry-optimized RbMnCl3O2 structure.

Energy relative to the lowest polymorph listed for this composition: 278 meV/atom

Unit cell a=6.696 b=8.329 c=8.512 alpha=102.59 beta=84.55 gamma=129.88
Sites, in units of the cell vectors:
O1 0.977 0.474 0.207
O2 0.027 0.207 0.436
O3 0.973 0.793 0.564
O4 0.023 0.526 0.793
Rb1 0.964 0.144 0.775
Rb2 0.036 0.856 0.225
Mn1 0.003 0.337 0.316
Mn2 0.997 0.663 0.684
Cl1 0.318 0.678 0.505
Cl2 0.673 0.621 0.838
Cl3 0.682 0.322 0.495
Cl4 0.679 0.016 0.157
Cl5 0.321 0.984 0.843
Cl6 0.327 0.379 0.162